Record 1
Below is a relaxed structure of LiMgNb, with properties calculated at the PBE-GGA level.

Calculated values
**Formation enthalpy at 0 K**: 161 kJ/mol of formula units
**ΔE to the lowest computed polymorph**: 1.17 eV per formula unit

a = 3.7264 Å, b = 3.7264 Å, c = 8.0744 Å
α = 90.00°, β = 90.00°, γ = 90.00°
With the nearest neighbours (Å) after each atom.
Space group P4/nmm (No. 129, origin choice 2)
One atom of each set of equivalent atoms:
Li  0.2500  0.2500  0.2429  1 Nb 2.59, 4 Mg 2.79
Mg  0.2500  0.7500  0.5000  4 Mg 2.63, 4 Li 2.79
Nb  0.2500  0.2500  0.9217  1 Li 2.59

Record 2
Below is a relaxed structure of LaTa2Rh2, with properties calculated at the PBE-GGA level.

Calculated values
**Formation enthalpy at 0 K**: -64 kJ/mol of formula units
**ΔE to the lowest computed polymorph**: 1.41 eV per formula unit

a = 8.0216 Å, b = 8.0216 Å, c = 2.9827 Å
α = 90.00°, β = 90.00°, γ = 90.00°
With the nearest neighbours (Å) after each atom.
Space group P4/mbm (No. 127)
One atom of each set of equivalent atoms:
La  0.0000  0.0000  0.0000  2 La 2.98, 4 Rh 3.16
Ta  0.1568  0.3432  0.5000  6 Rh 2.74-2.86, 2 Ta 2.98
Rh  0.1278  0.6278  0.0000  6 Ta 2.74-2.86, 3 Rh 2.90-2.98

Record 3
Below is a relaxed structure of YClO, with properties calculated at the PBE-GGA level.

Calculated values
**Raw formation energy**: -2.923 eV per atom

a = 5.2964 Å, b = 3.8762 Å, c = 6.5336 Å
α = 90.00°, β = 107.90°, γ = 90.00°
With the nearest neighbours (Å) after each atom.
Space group P2_1/m (No. 11)
One atom of each set of equivalent atoms:
Y  0.1400  0.2500  0.2198  3 O 2.17-2.19
Cl  0.2797  0.7500  0.5968  4 Y 2.83-3.04
O  0.1829  0.7500  0.0856  3 Y 2.17-2.19

Record 4
Below is a relaxed structure of ZnSbF2, with properties calculated at the PBE-GGA level.

Calculated values
**Raw formation energy**: -1.092 eV per atom
**ΔE to the lowest computed polymorph**: 1.47 eV per formula unit

a = 2.9911 Å, b = 2.9911 Å, c = 23.9737 Å
α = 90.00°, β = 90.00°, γ = 120.00°
With the nearest neighbours (Å) after each atom.
Space group R-3m (No. 166, hexagonal axes)
One atom of each set of equivalent atoms:
Zn  0.0000  0.0000  0.0000  2 F 2.10
Sb  0.0000  0.0000  0.5000  6 F 2.56
F  0.0000  0.0000  0.0876  1 Zn 2.10

Record 5
Below is a relaxed structure of Pm2Sm4TmMg, with properties calculated at the PBE-GGA level.

Calculated values
**Formation enthalpy at 0 K**: 12 kJ/mol of formula units

a = 5.0384 Å, b = 5.0384 Å, c = 10.1157 Å
α = 90.00°, β = 90.00°, γ = 90.00°
With the nearest neighbours (Å) after each atom.
Space group P4/mmm (No. 123)
One atom of each set of equivalent atoms:
Pm  0.0000  0.0000  0.0000  8 Sm 3.56, 4 Mg 3.56
Pm  0.5000  0.5000  0.5000  4 Tm 3.56, 8 Sm 3.58
Sm  0.0000  0.5000  0.2487  2 Mg 3.56, 4 Pm 3.56-3.58, 4 Sm 3.56, 2 Tm 3.58
Tm  0.0000  0.0000  0.5000  4 Pm 3.56, 8 Sm 3.58
Mg  0.5000  0.5000  0.0000  8 Sm 3.56, 4 Pm 3.56

Record 6
Below is a relaxed structure of TcHg, with properties calculated at the PBE-GGA level.

Calculated values
**Formation enthalpy at 0 K**: 125 kJ/mol of formula units
**ΔE to the lowest computed polymorph**: 0.80 eV per formula unit

a = 9.1302 Å, b = 3.1598 Å, c = 5.4237 Å
α = 90.00°, β = 90.00°, γ = 90.00°
With the nearest neighbours (Å) after each atom.
Space group Pnma (No. 62)
One atom of each set of equivalent atoms:
Tc  0.0017  0.2500  0.1620  2 Tc 2.36
Hg  0.2119  0.2500  0.5582  6 Tc 2.88-3.11, 6 Hg 3.16-3.21

Record 7
Below is a relaxed structure of K2Re3BiO12, with properties calculated at the PBE-GGA level.

Calculated values
**Raw formation energy**: -1.574 eV per atom

a = 7.4312 Å, b = 7.4312 Å, c = 18.4821 Å
α = 90.00°, β = 90.00°, γ = 120.00°
With the nearest neighbours (Å) after each atom.
Space group R-3m (No. 166, hexagonal axes)
One atom of each set of equivalent atoms:
K  0.0000  0.0000  0.1309  3 O 2.96
Re  0.0000  0.5000  0.0000  6 O 1.87-1.93
Bi  0.0000  0.0000  0.5000  6 O 2.35
O  0.0214  0.5107  0.1007  1 Re 1.87
O  0.0867  0.5433  0.3389  2 Re 1.93

Record 8
Below is a relaxed structure of Be3Sb, with properties calculated at the PBE-GGA level.

Calculated values
**Raw formation energy**: 1.748 eV per atom
**ΔE to the lowest computed polymorph**: 5.43 eV per formula unit

a = 4.8280 Å, b = 4.8280 Å, c = 4.8280 Å
α = 90.00°, β = 90.00°, γ = 90.00°
With the nearest neighbours (Å) after each atom.
Space group Pm-3m (No. 221)
One atom of each set of equivalent atoms:
Be  0.0000  0.0000  0.5000  2 Sb 2.41
Sb  0.0000  0.0000  0.0000  6 Be 2.41

Record 9
Below is a relaxed structure of DyNiAg, with properties calculated at the PBE-GGA level.

Calculated values
**Formation enthalpy at 0 K**: -60 kJ/mol of formula units
**ΔE to the lowest computed polymorph**: 0.55 eV per formula unit

a = 3.5171 Å, b = 3.5171 Å, c = 9.2412 Å
α = 90.00°, β = 90.00°, γ = 90.00°
With the nearest neighbours (Å) after each atom.
Space group I4mm (No. 107)
One atom of each set of equivalent atoms:
Dy  0.0000  0.0000  0.0000  4 Ni 2.86, 5 Ag 2.87-3.04
Ni  0.0000  0.0000  0.3469  4 Dy 2.86, 5 Ag 2.88-3.16
Ag  0.0000  0.0000  0.6890  5 Dy 2.87-3.04, 5 Ni 2.88-3.16

Record 10
Below is a relaxed structure of CaNbMoP2, with properties calculated at the PBE-GGA level.

Calculated values
**Formation enthalpy at 0 K**: 435 kJ/mol of formula units

a = 4.6990 Å, b = 4.6990 Å, c = 5.2030 Å
α = 90.00°, β = 90.00°, γ = 90.00°
With the nearest neighbours (Å) after each atom.
Space group P4/mmm (No. 123)
One atom of each set of equivalent atoms:
Ca  0.0000  0.0000  0.0000  2 Mo 2.60
Nb  0.5000  0.5000  0.0000  4 Ca 3.32, 8 P 3.51
Mo  0.0000  0.0000  0.5000  4 P 2.35, 2 Ca 2.60
P  0.0000  0.5000  0.5000  2 Mo 2.35

Record 11
Below is a relaxed structure of TlCuTe3, with properties calculated at the PBE-GGA level.

Calculated values
**Raw formation energy**: -0.061 eV per atom
**ΔE to the lowest computed polymorph**: 0.00 eV per formula unit

a = 6.5038 Å, b = 6.8858 Å, c = 7.8604 Å
α = 111.55°, β = 90.38°, γ = 105.86°
With the nearest neighbours (Å) after each atom.
Space group P1 (No. 1)
One atom of each set of equivalent atoms:
Tl  0.0000  0.0000  0.0000  5 Te 3.36-3.64
Tl  0.1033  0.7861  0.4734  5 Te 3.36-3.64
Cu  0.5505  0.3931  0.2372  4 Te 2.60-2.62
Cu  0.5508  0.3932  0.7369  4 Te 2.56-2.64
Te  0.0167  0.4978  0.0147  1 Te 2.85
Te  0.0869  0.2887  0.4588  1 Te 2.85
Te  0.4752  0.6302  0.0665  2 Cu 2.60-2.64, 1 Te 2.85
Te  0.5152  0.1213  0.8938  2 Cu 2.56-2.62
Te  0.5881  0.6658  0.5804  2 Cu 2.56-2.62
Te  0.6280  0.1562  0.4075  2 Cu 2.60-2.64, 1 Te 2.85

Record 12
Below is a relaxed structure of SrTlP2S8, with properties calculated at the PBE-GGA level.

Calculated values
**Raw formation energy**: -0.401 eV per atom

a = 6.0519 Å, b = 6.0519 Å, c = 26.4613 Å
α = 90.00°, β = 90.00°, γ = 120.00°
With the nearest neighbours (Å) after each atom.
Space group R-3 (No. 148, hexagonal axes)
One atom of each set of equivalent atoms:
Sr  0.0000  0.0000  0.0000  12 S 3.31-3.50
Tl  0.0000  0.0000  0.5000  6 S 2.81
P  0.0000  0.0000  0.2531  4 S 2.02-2.06
S  0.0000  0.0000  0.3295  1 P 2.02
S  0.0118  0.3803  0.5628  1 P 2.06

no.,E_tot (eV/atom),magnetic moment (μB/cell)
1,-3.971,0.000
2,-8.799,0.000
3,-7.346,0.000
4,-3.377,0.000
5,-4.290,0.000
6,-4.688,0.000
7,-7.292,2.442
8,-2.077,0.000
9,-4.618,0.000
10,-5.843,3.506
11,-3.239,0.000
12,-4.392,0.004